Here is a relaxed LaHf2Pd2 crystal from Alexandria. Energies are from PBE.

Lattice parameters (Å, degrees): 4.6404 4.6404 6.3463 68.56 68.56 90.00
Last column: nearest neighbours and their distance in Å.
Sites, in units of the cell vectors:
Hf 0.7500 0.2500 0.5000  4 Pd 2.69
Hf 0.2500 0.7500 0.5000  4 Pd 2.69
La 0.0000 0.0000 0.0000  8 Pd 3.55, 8 Hf 3.57
Pd 0.6243 0.6243 0.7514  4 Hf 2.69, 1 Pd 2.70
Pd 0.3757 0.3757 0.2486  4 Hf 2.69, 1 Pd 2.70

VASP energy in eV/atom: -7.5551
ΔE_f in eV/atom: -0.511
Total magnetic moment in Bohr magnetons per cell: 0.0